[1]
Entry from the Alexandria database: an optimized crystal structure of Ta3InBi (PBE).

abc: 5.061 5.061 5.061
angles: 90.00 90.00 90.00
Positions (direct):
In 0.000 0.000 0.000
Bi 0.500 0.500 0.500
Ta 0.000 0.500 0.000
Ta 0.000 0.000 0.500
Ta 0.500 0.000 0.000

For the energy of formation from the pure elements, the calculation gives 9.79 eV per formula unit. The crystal system is cubic. The density of states at the Fermi level is 1.820 states/eV/atom. The space-group type is No. 221. The theoretical density is 11103 kg/m³. The distance to the lowest polymorph of the same formula is 0.000 eV/f.u. As for the total magnetization: 0.00 μB per formula unit.

[2]
Entry from the Alexandria database: an optimized crystal structure of LaAgCl2 (PBE).

abc: 10.795 10.795 10.795
angles: 20.07 20.07 20.07
Positions (direct):
Cl 0.976 0.976 0.976
Cl 0.524 0.524 0.524
Ag 0.750 0.750 0.750
La 0.250 0.250 0.250

The value obtained for the formation energy from raw total energies is -1.13 eV/atom. The crystal system is trigonal. The density of states at the Fermi level is 0.848 states/eV/atom. The space-group type is No. 166. The theoretical density is 4069 kg/m³. The distance to the lowest polymorph of the same formula is 0.744 eV/f.u. As for the total magnetization: 0.08 μB per formula unit.

[3]
Entry from the Alexandria database: an optimized crystal structure of Cr2RuCl (PBE).

abc: 9.121 9.121 9.121
angles: 17.33 17.33 17.33
Positions (direct):
Ru 0.517 0.517 0.517
Cl 0.728 0.728 0.728
Cr 0.001 0.001 0.001
Cr 0.255 0.255 0.255

The value obtained for the formation energy from raw total energies is 0.29 eV/atom. The crystal system is trigonal. The density of states at the Fermi level is 0.686 states/eV/atom. The space-group type is No. 160. The theoretical density is 6794 kg/m³. The distance to the lowest polymorph of the same formula is 0.383 eV/f.u. As for the total magnetization: 0.00 μB per formula unit.

[4]
Entry from the Alexandria database: an optimized crystal structure of HfScCd2B (PBE).

abc: 5.342 5.018 5.342
angles: 90.00 90.00 90.00
Positions (direct):
Sc 0.000 0.000 0.000
B 0.500 0.500 0.500
Hf 0.000 0.500 0.000
Cd 0.000 0.000 0.500
Cd 0.500 0.000 0.000

For the energy of formation from the pure elements, the calculation gives 9.56 eV per formula unit. The crystal system is tetragonal. The density of states at the Fermi level is 1.224 states/eV/atom. The space-group type is No. 123. The theoretical density is 5323 kg/m³. The distance to the lowest polymorph of the same formula is 8.424 eV/f.u. As for the total magnetization: 0.00 μB per formula unit.

[5]
Entry from the Alexandria database: an optimized crystal structure of Nb3CoI (PBE).

abc: 4.964 4.964 4.964
angles: 90.00 90.00 90.00
Positions (direct):
I 0.000 0.000 0.000
Nb 0.000 0.500 0.000
Nb 0.000 0.000 0.500
Nb 0.500 0.000 0.000
Co 0.500 0.500 0.500

The value obtained for the formation energy from raw total energies is 2.19 eV/atom. The crystal system is cubic. The density of states at the Fermi level is 2.904 states/eV/atom. The space-group type is No. 221. The theoretical density is 6306 kg/m³. The distance to the lowest polymorph of the same formula is 6.629 eV/f.u. As for the total magnetization: 0.01 μB per formula unit.

[6]
Entry from the Alexandria database: an optimized crystal structure of Nd4NiPd (PBE).

abc: 6.476 7.067 7.067
angles: 90.00 90.00 90.00
Positions (direct):
Nd 0.000 0.186 0.673
Nd 0.000 0.814 0.327
Nd 0.000 0.327 0.186
Nd 0.000 0.673 0.814
Nd 0.500 0.814 0.673
Nd 0.500 0.186 0.327
Nd 0.500 0.673 0.186
Nd 0.500 0.327 0.814
Ni 0.250 0.500 0.500
Ni 0.750 0.500 0.500
Pd 0.250 0.000 0.000
Pd 0.750 0.000 0.000

For the energy of formation from the pure elements, the calculation gives -1.91 eV per formula unit. The crystal system is tetragonal. The density of states at the Fermi level is 1.369 states/eV/atom. The space-group type is No. 124. The theoretical density is 7621 kg/m³. The distance to the lowest polymorph of the same formula is 0.000 eV/f.u. As for the total magnetization: 0.00 μB per formula unit.

[7]
Entry from the Alexandria database: an optimized crystal structure of NaSc3As (PBE).

abc: 5.186 5.186 5.186
angles: 90.00 90.00 90.00
Last column: magnetic moment on the atom in μB.
Positions (direct):
Sc 0.000 0.500 0.000  0.38
Sc 0.000 0.000 0.500  0.48
Sc 0.500 0.000 0.000  0.31
Na 0.500 0.500 0.500  0.01
As 0.000 0.000 0.000  -0.01

For the energy of formation from the pure elements, the calculation gives -0.70 eV per formula unit. The crystal system is cubic. The density of states at the Fermi level is 1.595 states/eV/atom. The space-group type is No. 221. The theoretical density is 2771 kg/m³. The distance to the lowest polymorph of the same formula is 0.000 eV/f.u. As for the total magnetization: 2.30 μB per formula unit.

[8]
Entry from the Alexandria database: an optimized crystal structure of TlHgI2 (PBE).

abc: 5.726 4.467 6.989
angles: 108.66 89.94 90.01
Positions (direct):
Tl 0.558 0.459 0.944
Hg 0.061 0.701 0.435
I 0.063 0.999 0.028
I 0.561 0.726 0.482

The value obtained for the formation energy from raw total energies is -0.38 eV/atom. The crystal system is triclinic. The density of states at the Fermi level is 0.068 states/eV/atom. The space-group type is No. 1. The theoretical density is 6459 kg/m³. The distance to the lowest polymorph of the same formula is 0.145 eV/f.u. As for the total magnetization: 0.00 μB per formula unit.

[9]
Entry from the Alexandria database: an optimized crystal structure of BaDyMgGa (PBE).

abc: 5.550 5.550 5.550
angles: 60.00 60.00 60.00
Positions (direct):
Mg 0.000 0.000 0.000
Ba 0.750 0.750 0.750
Ga 0.500 0.500 0.500
Dy 0.250 0.250 0.250

For the energy of formation from the pure elements, the calculation gives -0.44 eV per formula unit. The crystal system is cubic. The density of states at the Fermi level is 1.001 states/eV/atom. The space-group type is No. 216. The theoretical density is 5410 kg/m³. As for the total magnetization: 0.00 μB per formula unit.

[10]
Entry from the Alexandria database: an optimized crystal structure of ReAs2Ru (PBE).

abc: 5.032 5.032 2.999
angles: 72.77 72.77 106.62
Positions (direct):
Re 0.500 0.000 0.500
As 0.000 0.000 0.000
As 0.500 0.500 0.000
Ru 0.000 0.500 0.500

For the energy of formation from the pure elements, the calculation gives 2.02 eV per formula unit. The crystal system is monoclinic. The density of states at the Fermi level is 1.034 states/eV/atom. The space-group type is No. 12. The theoretical density is 11487 kg/m³. The distance to the lowest polymorph of the same formula is 1.925 eV/f.u. As for the total magnetization: 0.00 μB per formula unit.

[11]
Entry from the Alexandria database: an optimized crystal structure of NaCuAsRu2 (PBE).

abc: 4.762 4.447 4.762
angles: 90.00 90.00 90.00
Last column: magnetic moment on the atom in μB.
Positions (direct):
Ru 0.000 0.000 0.500  2.20
Ru 0.500 0.000 0.000  1.72
As 0.000 0.500 0.000  0.03
Cu 0.000 0.000 0.000  0.15
Na 0.500 0.500 0.500  -0.01

For the energy of formation from the pure elements, the calculation gives 6.05 eV per formula unit. The crystal system is tetragonal. The density of states at the Fermi level is 1.587 states/eV/atom. The space-group type is No. 123. The theoretical density is 5988 kg/m³. As for the total magnetization: 4.38 μB per formula unit.

[12]
Entry from the Alexandria database: an optimized crystal structure of TbH2F6 (PBE).

abc: 5.529 6.046 6.046
angles: 88.98 99.22 99.22
Last column: magnetic moment on the atom in μB.
Positions (direct):
Tb 0.250 0.171 0.829  -0.02
Tb 0.750 0.829 0.171  -0.02
H 0.059 0.633 0.821  0.00
H 0.441 0.179 0.367  0.00
H 0.941 0.367 0.179  0.00
H 0.559 0.821 0.633  0.00
F 0.575 0.742 0.488  0.01
F 0.925 0.512 0.258  0.01
F 0.425 0.258 0.512  0.01
F 0.075 0.488 0.742  0.01
F 0.089 0.884 0.459  0.47
F 0.411 0.541 0.116  0.47
F 0.911 0.116 0.541  0.47
F 0.589 0.459 0.884  0.47
F 0.030 0.820 0.919  0.00
F 0.470 0.081 0.180  0.00
F 0.970 0.180 0.081  0.00
F 0.530 0.919 0.820  0.00

The crystal system is monoclinic. The space-group type is No. 15. The theoretical density is 4637 kg/m³. The distance to the lowest polymorph of the same formula is 0.000 eV/f.u. As for the total magnetization: 1.04 μB per formula unit.